# 1
Entry from Alexandria: crystalline CeTh2Pd at its relaxed geometry (PBE).

crystal system	tetragonal
ΔE_f	-0.308	eV per atom
total magnetic moment	0.00	Bohr magnetons per cell
mass density	10.9	g cm⁻³

Unit cell a=3.670 b=3.670 c=8.027 alpha=90.00 beta=90.00 gamma=90.00
Space group P4/mmm (No. 123)
Asymmetric unit:
Ce  0.000  0.000  0.000 [1 per cell]
Th  0.500  0.500  0.280 [2 per cell]
Pd  0.000  0.000  0.500 [1 per cell]

---

# 2
Entry from Alexandria: crystalline TbPmCd2 at its relaxed geometry (PBE).

crystal system	cubic
ΔE_f	-0.320	eV per atom
total magnetic moment	2.80	Bohr magnetons per cell
mass density	8.0	g cm⁻³

Unit cell a=7.593 b=7.593 c=7.593 alpha=90.00 beta=90.00 gamma=90.00
Space group Fm-3m (No. 225)
Asymmetric unit:
Tb  0.000  0.000  0.000 [4 per cell]
Pm  0.000  0.000  0.500 [4 per cell]
Cd  0.250  0.250  0.250 [8 per cell]

---

# 3
Entry from Alexandria: crystalline Tb7CeTm3 at its relaxed geometry (PBE).

crystal system	monoclinic
ΔE_f	0.157	eV per atom
total magnetic moment	3.22	Bohr magnetons per cell
mass density	8.3	g cm⁻³

Unit cell a=6.876 b=18.373 c=6.537 alpha=90.00 beta=121.63 gamma=90.00
Space group C2/m (No. 12)
Asymmetric unit:
Tb  0.000  0.000  0.000 [2 per cell]
Tb  0.000  0.412  0.000 [4 per cell]
Tb  0.220  0.161  0.438 [8 per cell]
Ce  0.000  0.500  0.500 [2 per cell]
Tm  0.000  0.000  0.500 [2 per cell]
Tm  0.250  0.250  0.000 [4 per cell]

---

# 4
Entry from Alexandria: crystalline CaLaZn2Cu2 at its relaxed geometry (PBE).

crystal system	trigonal
ΔE_f	-0.246	eV per atom
total magnetic moment	0.00	Bohr magnetons per cell
mass density	5.6	g cm⁻³

Unit cell a=4.4348 b=4.4348 c=7.5866 alpha=90.00 beta=90.00 gamma=120.00
Space group P-3m1 (No. 164)
Asymmetric unit:
Ca  0.0000  0.0000  0.0000 [1 per cell]
La  0.0000  0.0000  0.5000 [1 per cell]
Zn  0.3333  0.6667  0.7565 [2 per cell]
Cu  0.3333  0.6667  0.2495 [2 per cell]

---

# 5
Entry from Alexandria: crystalline Pm6CdAg5 at its relaxed geometry (PBE).

crystal system	monoclinic
ΔE_f	-0.079	eV per atom
total magnetic moment	0.00	Bohr magnetons per cell
mass density	7.4	g cm⁻³

Unit cell a=7.718 b=11.292 c=8.008 alpha=90.00 beta=101.21 gamma=90.00
Space group C2/m (No. 12)
Asymmetric unit:
Pm  0.182  0.000  0.194 [4 per cell]
Pm  0.218  0.176  0.719 [8 per cell]
Cd  0.000  0.500  0.000 [2 per cell]
Ag  0.000  0.000  0.500 [2 per cell]
Ag  0.000  0.229  0.000 [4 per cell]
Ag  0.000  0.379  0.500 [4 per cell]

---

# 6
Entry from Alexandria: crystalline NdCuSb3 at its relaxed geometry (PBE).

crystal system	orthorhombic
total magnetic moment	0.00	Bohr magnetons per cell
energy relative to the elements, uncorrected	-41.6	kJ/mol of atoms
mass density	7.6	g cm⁻³

Unit cell a=12.744 b=6.288 c=6.289 alpha=90.00 beta=90.00 gamma=90.00
Space group Pbcm (No. 57)
Asymmetric unit:
Nd  0.193  0.001  0.250 [4 per cell]
Cu  0.393  0.250  0.000 [4 per cell]
Sb  0.002  0.250  0.000 [4 per cell]
Sb  0.274  0.506  0.250 [4 per cell]
Sb  0.446  0.638  0.750 [4 per cell]